## TaRu2 (PBE)

Data for an optimized crystal structure of TaRu2.

a = 5.0534 Å, b = 5.0534 Å, c = 5.0534 Å
α = 106.48°, β = 106.48°, γ = 115.64°
Fractional positions:
Ta (0.2500, 0.2500, 0.0000)
Ta (0.7500, 0.7500, 0.0000)
Ru (0.1470, 0.6470, 0.7940)
Ru (0.3530, 0.1470, 0.5000)
Ru (0.6470, 0.8530, 0.5000)
Ru (0.8530, 0.3530, 0.2060)

E_form = 0.26 eV per atom
DFT total energy = -9.87 eV per atom
Magnetic moment = 0.00 Bohr magnetons per cell

## Zr4Sc (PBE)

Data for an optimized crystal structure of Zr4Sc.

a = 7.6626 Å, b = 7.6626 Å, c = 7.6626 Å
α = 148.27°, β = 148.27°, γ = 45.49°
Fractional positions:
Zr (0.0943, 0.0943, 0.0000)
Zr (0.2500, 0.7500, 0.5000)
Zr (0.7500, 0.2500, 0.5000)
Zr (0.9057, 0.9057, 0.0000)
Sc (0.5000, 0.5000, 0.0000)

E_form = 0.35 eV per atom
DFT total energy = -7.75 eV per atom
Magnetic moment = 0.00 Bohr magnetons per cell

## LiCu2Hg (PBE)

Data for an optimized crystal structure of LiCu2Hg.

a = 3.2224 Å, b = 3.2224 Å, c = 5.7374 Å
α = 90.00°, β = 90.00°, γ = 90.00°
Fractional positions:
Li (0.0000, 0.0000, 0.0000)
Cu (0.0000, 0.0000, 0.4416)
Cu (0.5000, 0.5000, 0.2421)
Hg (0.5000, 0.5000, 0.7326)

E_form = -0.03 eV per atom
DFT total energy = -2.63 eV per atom
Magnetic moment = 0.00 Bohr magnetons per cell

## SrTaCl (PBE)

Data for an optimized crystal structure of SrTaCl.

a = 7.0225 Å, b = 7.0225 Å, c = 7.0225 Å
α = 153.61°, β = 153.61°, γ = 37.67°
Fractional positions:
Sr (0.0000, 0.0000, 0.0000)
Ta (0.3089, 0.3089, 0.0000)
Cl (0.6701, 0.6701, 0.0000)

Formation energy (no corrections) = 19.2 kJ per mole of atoms
DFT total energy = -4.93 eV per atom
Magnetic moment = 0.00 Bohr magnetons per cell

## HfAlAu (PBE)

Data for an optimized crystal structure of HfAlAu.

a = 5.3432 Å, b = 5.3432 Å, c = 5.5227 Å
α = 90.00°, β = 90.00°, γ = 134.93°
Fractional positions:
Hf (0.1996, 0.8004, 0.7500)
Hf (0.8004, 0.1996, 0.2500)
Al (0.5000, 0.5000, 0.0000)
Al (0.5000, 0.5000, 0.5000)
Au (0.1044, 0.8956, 0.2500)
Au (0.8956, 0.1044, 0.7500)

E_form = -0.47 eV per atom
DFT total energy = -6.13 eV per atom
Magnetic moment = 0.00 Bohr magnetons per cell

## Tb2Mg3Cd (PBE)

Data for an optimized crystal structure of Tb2Mg3Cd.

a = 3.3328 Å, b = 5.1599 Å, c = 8.9308 Å
α = 90.00°, β = 90.00°, γ = 90.00°
Fractional positions:
Tb (0.0000, 0.0000, 0.0000)
Tb (0.0000, 0.5000, 0.4886)
Mg (0.5000, 0.0000, 0.6611)
Mg (0.5000, 0.5000, 0.1603)
Mg (0.5000, 0.5000, 0.8262)
Cd (0.5000, 0.0000, 0.3293)

E_form = -0.14 eV per atom
DFT total energy = -2.64 eV per atom
Magnetic moment = 0.00 Bohr magnetons per cell

## CaZnInIr (PBE)

Data for an optimized crystal structure of CaZnInIr.

a = 5.9659 Å, b = 5.9659 Å, c = 5.9659 Å
α = 43.33°, β = 43.33°, γ = 43.33°
Fractional positions:
Ca (0.0000, 0.0000, 0.0000)
Zn (0.4431, 0.4431, 0.4431)
In (0.2028, 0.2028, 0.2028)
Ir (0.8004, 0.8004, 0.8004)

E_form = -0.30 eV per atom
DFT total energy = -4.02 eV per atom
Magnetic moment = 0.00 Bohr magnetons per cell

## Pr4TmGa4 (PBE)

Data for an optimized crystal structure of Pr4TmGa4.

a = 7.7247 Å, b = 7.7247 Å, c = 7.7247 Å
α = 95.49°, β = 95.49°, γ = 143.97°
Fractional positions:
Pr (0.1338, 0.6480, 0.7818)
Pr (0.3520, 0.1338, 0.4858)
Pr (0.6480, 0.8662, 0.5142)
Pr (0.8662, 0.3520, 0.2182)
Tm (0.0000, 0.0000, 0.0000)
Ga (0.3350, 0.4310, 0.7661)
Ga (0.4310, 0.6650, 0.0960)
Ga (0.5690, 0.3350, 0.9040)
Ga (0.6650, 0.5690, 0.2339)

E_form = -0.38 eV per atom
DFT total energy = -4.35 eV per atom
Magnetic moment = 0.00 Bohr magnetons per cell